[1]
Entry from Alexandria: a relaxed structure of Ce2PmErTl4 (PBE).

Cell lengths 5.462, 5.462, 9.485 Å; angles 73.27, 73.27, 60.00 degrees
Positions (direct):
Pm (0.500, 0.500, 0.500)
Tl (0.124, 0.124, 0.628)
Tl (0.374, 0.374, 0.878)
Tl (0.876, 0.876, 0.372)
Tl (0.626, 0.626, 0.122)
Er (0.000, 0.000, 0.000)
Ce (0.749, 0.749, 0.752)
Ce (0.251, 0.251, 0.248)

Properties
As for the space group: R-3m (166). The value obtained for the energy of formation from the pure elements is -0.28 eV/atom. The calculation puts the total energy at -4.1095 eV per atom.

[2]
Entry from Alexandria: a relaxed structure of CePm3Er6Tm2 (PBE).

Cell lengths 6.138, 6.138, 11.707 Å; angles 95.01, 95.01, 119.98 degrees
Positions (direct):
Pm (0.832, 0.168, 0.500)
Pm (0.500, 0.500, 0.500)
Pm (0.168, 0.832, 0.500)
Er (0.414, 0.082, 0.246)
Er (0.751, 0.751, 0.247)
Er (0.586, 0.918, 0.754)
Er (0.082, 0.414, 0.246)
Er (0.249, 0.249, 0.753)
Er (0.918, 0.586, 0.754)
Tm (0.333, 0.667, 0.000)
Tm (0.667, 0.333, 0.000)
Ce (0.000, 0.000, 0.000)

Properties
As for the space group: C2/m (12). The value obtained for the energy of formation from the pure elements is 0.04 eV/atom. The calculation puts the total energy at -4.6735 eV per atom.

[3]
Entry from Alexandria: a relaxed structure of CePmEr2Tm (PBE).

Cell lengths 7.187, 7.702, 5.818 Å; angles 90.00, 90.00, 90.00 degrees
Positions (direct):
Pm (0.164, 0.500, 0.750)
Pm (0.836, 0.500, 0.250)
Er (0.676, 0.709, 0.750)
Er (0.676, 0.291, 0.750)
Er (0.324, 0.709, 0.250)
Er (0.324, 0.291, 0.250)
Ce (0.000, 0.000, 0.500)
Ce (0.000, 0.000, 0.000)
Tm (0.614, 0.000, 0.250)
Tm (0.386, 0.000, 0.750)

Properties
As for the space group: Pmma (51). The value obtained for the energy of formation from the pure elements is 0.29 eV/atom. The calculation puts the total energy at -4.5652 eV per atom.

[4]
Entry from Alexandria: a relaxed structure of CePm3Er2Tm6 (PBE).

Cell lengths 6.131, 6.131, 11.658 Å; angles 95.03, 95.03, 119.98 degrees
Positions (direct):
Tm (0.249, 0.249, 0.753)
Tm (0.917, 0.586, 0.753)
Tm (0.751, 0.751, 0.247)
Tm (0.586, 0.917, 0.753)
Tm (0.414, 0.083, 0.247)
Tm (0.083, 0.414, 0.247)
Pm (0.168, 0.832, 0.500)
Pm (0.500, 0.500, 0.500)
Pm (0.832, 0.168, 0.500)
Ce (0.000, 0.000, 0.000)
Er (0.333, 0.667, 0.000)
Er (0.667, 0.333, 0.000)

Properties
As for the space group: C2/m (12). The value obtained for the energy of formation from the pure elements is 0.04 eV/atom. The calculation puts the total energy at -4.6427 eV per atom.

[5]
Entry from Alexandria: a relaxed structure of CePmErTm (PBE).

Cell lengths 5.662, 5.662, 5.662 Å; angles 60.00, 60.00, 60.00 degrees
Positions (direct):
Pm (0.750, 0.750, 0.750)
Er (0.500, 0.500, 0.500)
Tm (0.250, 0.250, 0.250)
Ce (0.000, 0.000, 0.000)

Properties
As for the space group: F-43m (216). The value obtained for the energy of formation from the pure elements is 0.19 eV/atom. The calculation puts the total energy at -4.7371 eV per atom.

[6]
Entry from Alexandria: a relaxed structure of CePm2ErTm (PBE).

Cell lengths 8.139, 6.667, 6.077 Å; angles 90.02, 90.03, 89.95 degrees
Positions (direct):
Er (0.646, 0.000, 0.250)
Er (0.354, 0.000, 0.750)
Tm (0.124, 0.500, 0.750)
Tm (0.876, 0.500, 0.250)
Ce (0.000, 0.000, 0.500)
Ce (0.000, 0.000, 0.000)
Pm (0.689, 0.736, 0.750)
Pm (0.689, 0.264, 0.750)
Pm (0.311, 0.736, 0.250)
Pm (0.311, 0.264, 0.250)

Properties
As for the space group: P2_1/m (11). The value obtained for the energy of formation from the pure elements is 0.28 eV/atom. The calculation puts the total energy at -4.6097 eV per atom.